{
  "formula": "ErFe2SbO6",
  "functional": "GGA+U",
  "state": "optimized geometry",
  "lattice": [[-1.794, -4.794, -1.706], [5.281, -1.869, -0.304], [-0.493, -2.594, 7.391]],
  "species": ["O", "O", "O", "O", "O", "O", "O", "O", "O", "O", "O", "O", "Fe", "Fe", "Fe", "Fe", "Er", "Er", "Sb", "Sb"],
  "fractional_positions": [[0.821, 0.839, 0.533], [0.361, 0.890, 0.727], [0.139, 0.390, 0.773], [0.321, 0.661, 0.033], [0.832, 0.789, 0.891], [0.679, 0.339, 0.967], [0.168, 0.211, 0.109], [0.179, 0.161, 0.467], [0.639, 0.110, 0.273], [0.861, 0.610, 0.227], [0.332, 0.711, 0.391], [0.668, 0.289, 0.609], [0.497, 0.542, 0.791], [0.503, 0.458, 0.209], [0.003, 0.042, 0.709], [0.997, 0.958, 0.291], [0.500, 0.000, 0.000], [0.000, 0.500, 0.500], [0.000, 0.500, 0.000], [0.500, 0.000, 0.500]],
  "energy_ev_per_cell": -130.697,
  "sg": "No. 14",
  "dos_ef_per_ev_atom": 0.000
}